# 1
## TbCdPd (SCAN)

Data for a PBEsol-optimized structure of TbCdPd.

```
TbCdPd
1.0
-1.338 2.329 2.674
-4.990 -5.275 2.096
6.833 0.229 3.219
Pd Tb Cd
3 3 3
Direct
0.000 0.333 0.667
0.500 0.000 0.000
0.000 0.667 0.333
0.500 0.403 0.000
0.500 0.597 0.597
0.500 0.000 0.403
0.000 0.740 0.000
0.000 0.260 0.260
0.000 0.000 0.740
```

Output
Calculated volume   20.8 A^3/atom
Density of states at the Fermi level   6.17 states/eV/cell
E_tot   -336.8 eV/cell


# 2
## Cd3TcPd (SCAN)

Data for a PBEsol-optimized structure of Cd3TcPd.

```
Cd3TcPd
1.0
-3.459 -0.323 3.679
3.690 -0.502 3.425
0.146 5.025 0.579
Pd Tc Cd
1 1 3
Direct
0.500 0.500 0.500
0.000 0.000 0.000
0.000 0.500 0.000
0.000 0.000 0.500
0.500 0.000 0.000
```

Output
Calculated volume   25.9 A^3/atom
Density of states at the Fermi level   2.67 states/eV/cell
E_tot   -153.4 eV/cell


# 3
## YCdTe2Pd (SCAN)

Data for a PBEsol-optimized structure of YCdTe2Pd.

```
YCdTe2Pd
1.0
5.048 0.000 0.000
0.000 5.729 0.000
0.000 0.000 5.729
Pd Cd Y Te
1 1 1 2
Direct
0.500 0.000 0.000
0.500 0.500 0.500
0.000 0.000 0.000
0.000 0.000 0.500
0.000 0.500 0.000
```

Output
Calculated volume   33.1 A^3/atom
Density of states at the Fermi level   3.61 states/eV/cell
E_tot   -164.9 eV/cell


The lowest E_tot belongs to which entry?
TbCdPd


What is the formula in the first record?
TbCdPd


Copy entry 1 word for word.
## TbCdPd (SCAN)

Data for a PBEsol-optimized structure of TbCdPd.

```
TbCdPd
1.0
-1.338 2.329 2.674
-4.990 -5.275 2.096
6.833 0.229 3.219
Pd Tb Cd
3 3 3
Direct
0.000 0.333 0.667
0.500 0.000 0.000
0.000 0.667 0.333
0.500 0.403 0.000
0.500 0.597 0.597
0.500 0.000 0.403
0.000 0.740 0.000
0.000 0.260 0.260
0.000 0.000 0.740
```

Output
Calculated volume   20.8 A^3/atom
Density of states at the Fermi level   6.17 states/eV/cell
E_tot   -336.8 eV/cell